Model one:
This record from Alexandria describes a relaxed structure of ZrW2CN. The functional is PBE-GGA.

Properties
* symmetry: P4/mmm (123)

a = 3.992 Å, b = 4.754 Å, c = 3.992 Å
α = 90.00°, β = 90.00°, γ = 90.00°
Sites, in units of the cell vectors:
Zr1 0.000 0.500 0.000
W1 0.000 0.000 0.500
N1 0.500 0.500 0.500
W2 0.500 0.000 0.000
C1 0.000 0.000 0.000

=====

Model two:
This record from Alexandria describes a relaxed structure of ZrW2CN. The functional is PBE-GGA.

Properties
* symmetry: P4/mmm (123)

a = 4.927 Å, b = 3.996 Å, c = 4.927 Å
α = 90.00°, β = 90.00°, γ = 90.00°
Sites, in units of the cell vectors:
C1 0.000 0.500 0.000
Zr1 0.000 0.000 0.000
W1 0.500 0.000 0.000
W2 0.000 0.000 0.500
N1 0.500 0.500 0.500

=====

Energies relative to the most stable structure are model one 0; model two 2723, reported in meV per atom.

=====

Model one:
This record from Alexandria describes a relaxed structure of YC3N. The functional is PBE-GGA.

Properties
* symmetry: Pm-3m (221)

a = 3.711 Å, b = 3.711 Å, c = 3.711 Å
α = 90.00°, β = 90.00°, γ = 90.00°
Sites, in units of the cell vectors:
C1 0.500 0.000 0.000
C2 0.000 0.500 0.000
Y1 0.500 0.500 0.500
N1 0.000 0.000 0.000
C3 0.000 0.000 0.500

=====

Model two:
This record from Alexandria describes a relaxed structure of YC3N. The functional is PBE-GGA.

Properties
* symmetry: Pm-3m (221)

a = 4.684 Å, b = 4.684 Å, c = 4.684 Å
α = 90.00°, β = 90.00°, γ = 90.00°
Sites, in units of the cell vectors:
C1 0.000 0.000 0.500
C2 0.000 0.500 0.000
Y1 0.000 0.000 0.000
N1 0.500 0.500 0.500
C3 0.500 0.000 0.000

=====

Energies relative to the most stable structure are model one 0; model two 1567, reported in meV per atom.

=====

Model one:
This record from Alexandria describes a relaxed structure of Y4CN2. The functional is PBE-GGA.

Properties
* symmetry: P4_122 (91)

a = 7.172 Å, b = 7.172 Å, c = 10.151 Å
α = 90.00°, β = 90.00°, γ = 90.00°
Sites, in units of the cell vectors:
Y1 0.253 0.982 0.505
Y2 0.253 0.018 0.995
Y3 0.982 0.253 0.245
Y4 0.747 0.982 0.495
N1 0.751 0.249 0.625
Y5 0.747 0.490 0.009
Y6 0.510 0.747 0.259
N2 0.500 0.257 0.000
Y7 0.510 0.253 0.241
Y8 0.018 0.253 0.755
C1 0.742 0.000 0.250
C2 0.258 0.000 0.750
N3 0.751 0.751 0.875
Y9 0.747 0.018 0.005
Y10 0.490 0.253 0.759
N4 0.249 0.751 0.125
N5 0.249 0.249 0.375
Y11 0.490 0.747 0.741
N6 0.257 0.500 0.750
N7 0.743 0.500 0.250
N8 0.500 0.743 0.500
Y12 0.018 0.747 0.745
Y13 0.747 0.510 0.491
C3 0.000 0.742 0.500
Y14 0.253 0.510 0.509
Y15 0.253 0.490 0.991
Y16 0.982 0.747 0.255
C4 0.000 0.258 0.000

=====

Model two:
This record from Alexandria describes a relaxed structure of Y4CN2. The functional is PBE-GGA.

Properties
* symmetry: I4/mmm (139)

a = 4.675 Å, b = 4.675 Å, c = 7.065 Å
α = 70.68°, β = 70.68°, γ = 90.00°
Sites, in units of the cell vectors:
N1 0.381 0.381 0.237
Y1 0.210 0.210 0.581
Y2 0.500 0.000 0.000
N2 0.619 0.619 0.763
Y3 0.000 0.500 0.000
Y4 0.790 0.790 0.419
C1 0.000 0.000 0.000

=====

Energies relative to the most stable structure are model one 0; model two 594, reported in meV per atom.

=====

Model one:
This record from Alexandria describes a relaxed structure of ZnC2N. The functional is PBE-GGA.

Properties
* symmetry: Fm-3m (225)

a = 3.736 Å, b = 3.736 Å, c = 3.736 Å
α = 60.00°, β = 60.00°, γ = 60.00°
Sites, in units of the cell vectors:
N1 0.000 0.000 0.000
C1 0.750 0.750 0.750
Zn1 0.500 0.500 0.500
C2 0.250 0.250 0.250

=====

Model two:
This record from Alexandria describes a relaxed structure of ZnC2N. The functional is PBE-GGA.

Properties
* symmetry: I-42d (122)

a = 4.367 Å, b = 4.367 Å, c = 4.693 Å
α = 62.27°, β = 62.27°, γ = 90.00°
Sites, in units of the cell vectors:
Zn1 0.750 0.250 0.500
C1 0.211 0.625 0.250
N1 0.500 0.500 0.000
C2 0.539 0.125 0.250
N2 0.250 0.750 0.500
C3 0.875 0.789 0.750
C4 0.375 0.461 0.750
Zn2 0.000 0.000 0.000

=====

Energies relative to the most stable structure are model one 1736; model two 0, reported in meV per atom.

=====

Model one:
This record from Alexandria describes a relaxed structure of ZnC3N. The functional is PBE-GGA.

Properties
* symmetry: Pm-3m (221)

a = 3.893 Å, b = 3.893 Å, c = 3.893 Å
α = 90.00°, β = 90.00°, γ = 90.00°
Sites, in units of the cell vectors:
Zn1 0.000 0.000 0.000
N1 0.500 0.500 0.500
C1 0.000 0.000 0.500
C2 0.000 0.500 0.000
C3 0.500 0.000 0.000

=====

Model two:
This record from Alexandria describes a relaxed structure of ZnC3N. The functional is PBE-GGA.

Properties
* symmetry: Pm-3m (221)

a = 3.522 Å, b = 3.522 Å, c = 3.522 Å
α = 90.00°, β = 90.00°, γ = 90.00°
Sites, in units of the cell vectors:
C1 0.500 0.000 0.000
Zn1 0.500 0.500 0.500
C2 0.000 0.500 0.000
N1 0.000 0.000 0.000
C3 0.000 0.000 0.500

=====

Energies relative to the most stable structure are model one 806; model two 0, reported in meV per atom.

=====

Model one:
This record from Alexandria describes a relaxed structure of Zr2CN. The functional is PBE-GGA.

Properties
* symmetry: R-3m (166)

a = 5.721 Å, b = 5.721 Å, c = 5.721 Å
α = 33.59°, β = 33.59°, γ = 33.59°
Sites, in units of the cell vectors:
Zr1 0.251 0.251 0.251
Zr2 0.749 0.749 0.749
C1 0.000 0.000 0.000
N1 0.500 0.500 0.500

=====

Model two:
This record from Alexandria describes a relaxed structure of Zr2CN. The functional is PBE-GGA.

Properties
* symmetry: R3m (160)

a = 3.258 Å, b = 3.258 Å, c = 5.978 Å
α = 74.19°, β = 74.19°, γ = 60.00°
Sites, in units of the cell vectors:
N1 0.498 0.498 0.505
Zr1 0.079 0.079 0.764
C1 0.669 0.669 0.994
Zr2 0.254 0.254 0.237

=====

Model three:
This record from Alexandria describes a relaxed structure of Zr2CN. The functional is PBE-GGA.

Properties
* symmetry: P-6m2 (187)

a = 3.846 Å, b = 3.846 Å, c = 4.667 Å
α = 90.00°, β = 90.00°, γ = 120.03°
Sites, in units of the cell vectors:
C1 0.403 0.829 0.130
N1 0.736 0.496 0.630
Zr1 0.736 0.496 0.130
Zr2 0.403 0.829 0.630

=====

Energies relative to the most stable structure are model one 0; model two 237; model three 198, reported in meV per atom.